No. 1
## CdOs3 (GGA-PBE)

Data for a geometry-optimized CdOs3 structure.

CIF file:
```
data_CdOs3
_chemical_formula_sum 'Cd2 Os6'
_cell_length_a 2.769
_cell_length_b 4.657
_cell_length_c 10.084
_cell_angle_alpha 90.00
_cell_angle_beta 90.00
_cell_angle_gamma 90.00
_symmetry_space_group_name_H-M 'I m m m'
_symmetry_Int_Tables_number 71
_symmetry_space_group_name_Hall '-I 2 2'
loop_
_atom_site_label
_atom_site_type_symbol
_atom_site_fract_x
_atom_site_fract_y
_atom_site_fract_z
Cd1 Cd 0.000 0.000 0.000
Os1 Os 0.000 0.000 0.500
Os2 Os 0.000 0.500 0.219
```

Values from the calculation:
**E**: -7.966 eV per atom
**Total magnetic moment**: 0.00 Bohr magnetons per cell


No. 2
## Tl2OsPtAu (GGA-PBE)

Data for a geometry-optimized Tl2OsPtAu structure.

CIF file:
```
data_Tl2OsPtAu
_chemical_formula_sum 'Tl2 Os1 Pt1 Au1'
_cell_length_a 5.259
_cell_length_b 5.259
_cell_length_c 5.130
_cell_angle_alpha 90.00
_cell_angle_beta 90.00
_cell_angle_gamma 90.00
_symmetry_space_group_name_H-M 'P 4/m m m'
_symmetry_Int_Tables_number 123
_symmetry_space_group_name_Hall '-P 4 2'
loop_
_atom_site_label
_atom_site_type_symbol
_atom_site_fract_x
_atom_site_fract_y
_atom_site_fract_z
Tl1 Tl 0.000 0.500 0.000
Os1 Os 0.000 0.000 0.500
Pt1 Pt 0.500 0.500 0.500
Au1 Au 0.000 0.000 0.000
```

Values from the calculation:
**E**: -3.459 eV per atom
**Total magnetic moment**: 3.38 Bohr magnetons per cell


No. 3
## Ca3Zn4Ir2 (GGA-PBE)

Data for a geometry-optimized Ca3Zn4Ir2 structure.

CIF file:
```
data_Ca3Zn4Ir2
_chemical_formula_sum 'Ca6 Zn8 Ir4'
_cell_length_a 4.3586
_cell_length_b 4.3586
_cell_length_c 23.5630
_cell_angle_alpha 90.00
_cell_angle_beta 90.00
_cell_angle_gamma 120.00
_symmetry_space_group_name_H-M 'P -6 m 2'
_symmetry_Int_Tables_number 187
_symmetry_space_group_name_Hall 'P -6 2'
loop_
_atom_site_label
_atom_site_type_symbol
_atom_site_fract_x
_atom_site_fract_y
_atom_site_fract_z
Ca1 Ca 0.0000 0.0000 0.0791
Ca2 Ca 0.0000 0.0000 0.2566
Ca3 Ca 0.0000 0.0000 0.4108
Zn1 Zn 0.3333 0.6667 0.1695
Zn2 Zn 0.3333 0.6667 0.3335
Zn3 Zn 0.3333 0.6667 0.5000
Zn4 Zn 0.6667 0.3333 0.1727
Zn5 Zn 0.6667 0.3333 0.5000
Ir1 Ir 0.3333 0.6667 0.0000
Ir2 Ir 0.6667 0.3333 0.0000
Ir3 Ir 0.6667 0.3333 0.3329
```

Values from the calculation:
**E**: -3.491 eV per atom
**Total magnetic moment**: 0.00 Bohr magnetons per cell


No. 4
## BaZnInAg3 (GGA-PBE)

Data for a geometry-optimized BaZnInAg3 structure.

CIF file:
```
data_BaZnInAg3
_chemical_formula_sum 'Ba4 Zn4 In4 Ag12'
_cell_length_a 7.249
_cell_length_b 13.300
_cell_length_c 6.652
_cell_angle_alpha 90.00
_cell_angle_beta 90.00
_cell_angle_gamma 90.00
_symmetry_space_group_name_H-M 'C m c m'
_symmetry_Int_Tables_number 63
_symmetry_space_group_name_Hall '-C 2c 2'
loop_
_atom_site_label
_atom_site_type_symbol
_atom_site_fract_x
_atom_site_fract_y
_atom_site_fract_z
Ba1 Ba 0.000 0.213 0.250
Zn1 Zn 0.000 0.120 0.750
In1 In 0.000 0.476 0.250
Ag1 Ag 0.000 0.316 0.750
Ag2 Ag 0.193 0.000 0.000
```

Values from the calculation:
**E**: -2.500 eV per atom
**Total magnetic moment**: 0.00 Bohr magnetons per cell